VASP calculation (GGA-PBE) on a relaxed structure of MgTlPt2.

- ΔE_f (eV per atom) = -0.259
- symmetry = P4mm
- ρ (g/cm3) = 14.0

Lattice parameters (Å, degrees): 3.5848 3.5848 5.7150 90.00 90.00 90.00
Last column: nearest neighbours and their distance in Å.
Fractional positions:
Mg1 0.5000 0.5000 0.7901  5 Pt 2.67-2.74
Pt1 0.0000 0.0000 0.9741  4 Mg 2.74, 2 Tl 2.83-2.88, 4 Pt 3.01
Pt2 0.5000 0.5000 0.2575  1 Mg 2.67, 4 Tl 2.83
Tl1 0.0000 0.0000 0.4784  6 Pt 2.83-2.88, 4 Mg 3.10